The following is a GGA-PBE calculation of a relaxed structure of VCuTe3, from Alexandria via LeMat-Bulk.

## Properties
* symmetry: P2_1/m
* uncorrected formation energy: -0.049 eV per atom
* distance to the lowest polymorph of the same formula: 0 meV/atom
* total DFT energy (no corrections): -4.577 eV per atom
* crystal system: monoclinic

Unit cell a=3.5912 b=6.3699 c=11.8928 alpha=112.46 beta=90.00 gamma=90.00
Fractional positions:
V: 0.2500 0.2074 0.5436
V: 0.7500 0.7926 0.4564
Cu: 0.2500 0.1101 0.1514
Cu: 0.7500 0.8899 0.8486
Te: 0.7500 0.1118 0.6837
Te: 0.7500 0.5627 0.6229
Te: 0.2500 0.8882 0.3163
Te: 0.2500 0.4373 0.3771
Te: 0.2500 0.7361 0.9595
Te: 0.7500 0.2639 0.0405


The following is a GGA-PBE calculation of a relaxed structure of VCu3Te4, from Alexandria via LeMat-Bulk.

## Properties
* symmetry: Pmn2_1
* uncorrected formation energy: -0.073 eV per atom
* distance to the lowest polymorph of the same formula: 170 meV/atom
* total DFT energy (no corrections): -4.320 eV per atom
* crystal system: orthorhombic

Unit cell a=6.9986 b=7.2511 c=8.3643 alpha=90.00 beta=90.00 gamma=90.00
Site moments in Bohr magnetons follow the coordinates.
Fractional positions:
V: 0.0052 0.1690 0.0000  0.17
V: 0.5052 0.8310 0.5000  0.17
Cu: 0.4970 0.8420 0.0000  -0.01
Cu: 0.9954 0.6678 0.2493  -0.01
Cu: 0.4954 0.3322 0.2507  -0.01
Cu: 0.9969 0.1580 0.5000  -0.01
Cu: 0.4954 0.3322 0.7493  -0.01
Cu: 0.9954 0.6678 0.7507  -0.01
Te: 0.1275 0.8397 0.0000  -0.02
Te: 0.6429 0.1725 0.0000  -0.02
Te: 0.1260 0.3328 0.2503  -0.01
Te: 0.6260 0.6672 0.2497  -0.01
Te: 0.1429 0.8275 0.5000  -0.02
Te: 0.6275 0.1603 0.5000  -0.02
Te: 0.6260 0.6672 0.7503  -0.01
Te: 0.1260 0.3328 0.7497  -0.01


The following is a GGA-PBE calculation of a relaxed structure of VCu3Te4, from Alexandria via LeMat-Bulk.

## Properties
* symmetry: P-43m
* uncorrected formation energy: -0.243 eV per atom
* distance to the lowest polymorph of the same formula: 0 meV/atom
* total DFT energy (no corrections): -4.490 eV per atom
* crystal system: cubic

Unit cell a=5.9386 b=5.9386 c=5.9386 alpha=90.00 beta=90.00 gamma=90.00
Fractional positions:
V: 0.0000 0.0000 0.0000
Cu: 0.0000 0.0000 0.5000
Cu: 0.0000 0.5000 0.0000
Cu: 0.5000 0.0000 0.0000
Te: 0.7487 0.7487 0.2513
Te: 0.7487 0.2513 0.7487
Te: 0.2513 0.7487 0.7487
Te: 0.2513 0.2513 0.2513


The following is a GGA-PBE calculation of a relaxed structure of CuTeW2, from Alexandria via LeMat-Bulk.

## Properties
* symmetry: P4mm
* uncorrected formation energy: 0.457 eV per atom
* total DFT energy (no corrections): -7.829 eV per atom
* crystal system: tetragonal

Unit cell a=3.3408 b=3.3408 c=6.0611 alpha=90.00 beta=90.00 gamma=90.00
Fractional positions:
Cu: 0.0000 0.0000 0.4735
Te: 0.5000 0.5000 0.7384
W: 0.0000 0.0000 0.0297
W: 0.5000 0.5000 0.2584